MnTl3V3Se8 | GGA-PBE | relaxed

Results
The calculation puts the volume at 24.81 Å³ per atom. The value obtained for the magnetization is 9.0 μB per formula unit. The value obtained for the uncorrected energy is -159.3 eV for the cell shown.

Cell lengths 12.902, 7.455, 8.850 Å; angles 90.00, 119.02, 90.00 degrees
Space group C2/m (No. 12)
Inequivalent atoms, fractional coordinates:
Mn1 0.000 0.000 0.000
Tl1 0.000 0.000 0.500
Tl2 0.250 0.250 0.500
V1 0.000 0.500 0.000
V2 0.250 0.250 0.000
Se1 0.023 0.250 0.819
Se2 0.227 0.000 0.181
Se3 0.227 0.500 0.182

MnTlVSe3 | GGA-PBE | relaxed

Results
The calculation puts the volume at 21.98 Å³ per atom. The value obtained for the magnetization is 1.3 μB per formula unit. The value obtained for the uncorrected energy is -67.7 eV for the cell shown.

Cell lengths 8.447, 3.499, 9.660 Å; angles 90.00, 112.53, 90.00 degrees
Space group P2_1/m (No. 11)
Inequivalent atoms, fractional coordinates:
Mn1 0.028 0.250 0.331
Tl1 0.496 0.750 0.770
V1 0.027 0.750 0.110
Se1 0.148 0.250 0.613
Se2 0.192 0.750 0.940
Se3 0.247 0.750 0.356

Y3MnTl4Se8 | GGA-PBE | relaxed

Results
The calculation puts the volume at 28.19 Å³ per atom. The value obtained for the magnetization is 4.4 μB per formula unit. The value obtained for the uncorrected energy is -251.3 eV for the cell shown.

Cell lengths 8.2492, 8.2492, 22.9563 Å; angles 90.00, 90.00, 120.00 degrees
Space group R-3m (No. 166, hexagonal axes)
Inequivalent atoms, fractional coordinates:
Y1 0.0000 0.5000 0.0000
Mn1 0.0000 0.0000 0.0000
Tl1 0.0000 0.0000 0.5000
Tl2 0.0000 0.5000 0.5000
Se1 0.0000 0.0000 0.2637
Se2 0.0162 0.5081 0.7332

YMnTlSe3 | GGA-PBE | relaxed

Results
The calculation puts the volume at 29.78 Å³ per atom. The value obtained for the magnetization is 5.0 μB per formula unit. The value obtained for the uncorrected energy is -69.4 eV for the cell shown.

Cell lengths 9.054, 4.210, 9.780 Å; angles 90.00, 106.55, 90.00 degrees
Space group P2_1/m (No. 11)
Inequivalent atoms, fractional coordinates:
Y1 0.168 0.250 0.141
Mn1 0.417 0.750 0.389
Tl1 0.293 0.750 0.778
Se1 0.041 0.250 0.839
Se2 0.293 0.250 0.460
Se3 0.386 0.750 0.130

Y3MnTl3Se8 | GGA-PBE | relaxed

Results
The calculation puts the volume at 29.96 Å³ per atom. The value obtained for the magnetization is 3.1 μB per formula unit. The value obtained for the uncorrected energy is -241.9 eV for the cell shown.

Cell lengths 8.1316, 8.1316, 23.5412 Å; angles 90.00, 90.00, 120.00 degrees
Space group R-3m (No. 166, hexagonal axes)
Inequivalent atoms, fractional coordinates:
Y1 0.0000 0.5000 0.0000
Mn1 0.0000 0.0000 0.0000
Tl1 0.0000 0.5000 0.5000
Se1 0.0000 0.0000 0.2642
Se2 0.0320 0.5160 0.7299

MnTlZnSe3 | GGA-PBE | relaxed

Results
The calculation puts the volume at 26.06 Å³ per atom. The value obtained for the magnetization is 4.0 μB per formula unit. The value obtained for the uncorrected energy is -52.2 eV for the cell shown.

Cell lengths 8.591, 3.803, 9.971 Å; angles 90.00, 106.25, 90.00 degrees
Space group P2_1/m (No. 11)
Inequivalent atoms, fractional coordinates:
Mn1 0.154 0.250 0.116
Tl1 0.299 0.750 0.763
Zn1 0.406 0.750 0.394
Se1 0.029 0.250 0.849
Se2 0.287 0.250 0.489
Se3 0.358 0.750 0.136